1.
K2HoCl4 | Alexandria via LeMat-Bulk | GGA-PBE | relaxed; VASP energy = -27.09 eV per formula unit; V = 32.53 Å³/atom; symmetry = No. 139
1.0
5.299 0.000 0.000
0.000 5.299 0.000
2.650 2.650 8.109
K Ho Cl
2 1 4
direct
0.643 0.643 0.715
0.357 0.357 0.285
0.000 0.000 0.000
0.835 0.835 0.330
0.165 0.165 0.670
0.000 0.500 0.000
0.500 0.000 0.000

2.
CaCd | Alexandria via LeMat-Bulk | GGA-PBE | relaxed; VASP energy = -2.65 eV per formula unit; V = 41.04 Å³/atom; symmetry = No. 194
1.0
-1.407 4.389 2.882
2.589 -4.123 2.418
5.639 2.723 -1.395
Ca Cd
2 2
direct
0.333 0.667 0.250
0.667 0.333 0.750
0.333 0.667 0.750
0.667 0.333 0.250

3.
Y3BeS | Alexandria via LeMat-Bulk | GGA-PBE | relaxed; VASP energy = -29.15 eV per formula unit; V = 27.06 Å³/atom; polymorph energy (0 for the lowest one) = 0.000 eV per atom; symmetry = No. 221
1.0
-4.356 -1.645 2.162
2.313 -4.388 1.322
1.424 2.096 4.465
Y Be S
3 1 1
direct
0.000 0.500 0.000
0.000 0.000 0.500
0.500 0.000 0.000
0.500 0.500 0.500
0.000 0.000 0.000

no.,magnetic moment (Bohr magnetons per cell)
1,0.27
2,0.00
3,0.00